Entry from Alexandria via LeMat-Bulk: an optimized crystal structure of DyHoErLu (PBE-GGA).

Computed properties:
* DFT formation energy: 51.8 kJ/mol of formula units
* raw total energy: -4.432 eV/atom
* theoretical density: 9.0 g/cm³

abc: 5.5922 5.5922 5.5922
angles: 60.00 60.00 60.00
Atoms (fractional coordinates):
Dy1 0.0000 0.0000 0.0000
Ho1 0.5000 0.5000 0.5000
Er1 0.7500 0.7500 0.7500
Lu1 0.2500 0.2500 0.2500